Entry from Alexandria via LeMat-Bulk: a relaxed structure of TaCoO2F (GGA+U).

Lattice parameters (Å, degrees): 3.793 3.793 3.697 90.00 90.00 90.00
Space group P4/mmm (No. 123)
Unique sites:
Ta 0.000 0.000 0.000
Co 0.500 0.500 0.500
O 0.000 0.500 0.500
F 0.500 0.500 0.000

Electronic total energy in eV/atom: -6.2309